Below is an optimized crystal structure of LiCe3Al8, with properties calculated at the PBE level.

Results
For the density of states at the Fermi level, the calculation gives 1.4759 states/eV/atom. As for the formation energy: -8.21 kcal/mol of atoms. Its space-group type is R3m. The final energy is -4.494 eV per atom.

Cell lengths 5.562, 5.562, 9.668 Å; angles 73.28, 73.28, 60.00 degrees
Element x y z (fractional)
Al 0.938 0.437 0.686
Al 0.187 0.187 0.438
Al 0.437 0.437 0.187
Al 0.938 0.437 0.187
Al 0.437 0.938 0.187
Al 0.938 0.938 0.686
Al 0.437 0.938 0.686
Al 0.687 0.687 0.938
Li 0.875 0.875 0.375
Ce 0.997 0.997 0.008
Ce 0.502 0.502 0.494
Ce 0.374 0.374 0.878